(1)
An optimized crystal structure of KRbZn2Au, computed with PBE-GGA.

a = 5.1797 Å, b = 6.1099 Å, c = 5.1797 Å
α = 90.00°, β = 90.00°, γ = 90.00°
Closest atoms and distances in Å follow each position.
Fractional positions:
Zn 0.0000 0.0000 0.5000  2 Au 2.59
Zn 0.5000 0.0000 0.0000  2 Au 2.59
Au 0.0000 0.0000 0.0000  4 Zn 2.59
K 0.0000 0.5000 0.0000  2 Au 3.05
Rb 0.5000 0.5000 0.5000  4 K 3.66, 8 Zn 4.01

Computed properties:
Fermi-level density of states ... 0.44 states/eV per atom
M_tot ... 0.00 μB per formula unit
E_form ... -0.01 eV per atom
Final energy ... -8.0 eV per cell
SG ... P4/mmm, No. 123
Calculated volume ... 163.9 Å³ per cell


(2)
An optimized crystal structure of KRbZnAu, computed with PBE-GGA.

a = 4.5944 Å, b = 4.5944 Å, c = 9.4032 Å
α = 90.03°, β = 104.13°, γ = 119.97°
Closest atoms and distances in Å follow each position.
Fractional positions:
K 0.0020 0.8651 0.8671  3 Au 3.49, 3 Zn 3.49
Rb 0.3513 0.0408 0.3922  3 Zn 3.62, 3 Au 3.62
Zn 0.8362 0.2825 0.1187  3 Au 2.65
Au 0.5026 0.6160 0.1186  3 Zn 2.65

Computed properties:
Fermi-level density of states ... 0.55 states/eV per atom
M_tot ... 0.00 μB per formula unit
E_form ... -0.19 eV per atom
Final energy ... -7.4 eV per cell
SG ... R3m, No. 160
Calculated volume ... 165.0 Å³ per cell


(3)
An optimized crystal structure of KRbZnAu, computed with PBE-GGA.

a = 5.8900 Å, b = 5.8900 Å, c = 5.8900 Å
α = 60.00°, β = 60.00°, γ = 60.00°
Closest atoms and distances in Å follow each position.
Fractional positions:
Zn 0.0000 0.0000 0.0000  4 K 3.61, 4 Rb 3.61
Au 0.5000 0.5000 0.5000  4 K 3.61, 4 Rb 3.61
K 0.7500 0.7500 0.7500  4 Au 3.61, 4 Zn 3.61
Rb 0.2500 0.2500 0.2500  4 Au 3.61, 4 Zn 3.61

Computed properties:
Fermi-level density of states ... 0.54 states/eV per atom
M_tot ... 0.00 μB per formula unit
E_form ... -0.02 eV per atom
Final energy ... -6.7 eV per cell
SG ... F-43m, No. 216
Calculated volume ... 144.5 Å³ per cell


(4)
An optimized crystal structure of KRe2Au, computed with PBE-GGA.

a = 6.0098 Å, b = 6.0098 Å, c = 6.0098 Å
α = 149.56°, β = 124.05°, γ = 65.04°
Closest atoms and distances in Å follow each position.
Fractional positions:
Au 0.5434 0.5434 0.0000  2 Re 2.79
K 0.2484 0.7484 0.5000  2 K 3.16, 8 Re 3.24-3.52, 4 Au 3.38-3.50
Re 0.9383 0.9383 0.0000  2 Re 2.32
Re 0.7699 0.2699 0.5000  2 Re 2.32

Computed properties:
Fermi-level density of states ... 0.53 states/eV per atom
M_tot ... 0.00 μB per formula unit
E_form ... 1.11 eV per atom
Final energy ... -24.8 eV per cell
SG ... Imm2, No. 44
Calculated volume ... 90.2 Å³ per cell


(5)
An optimized crystal structure of K2ReAu, computed with PBE-GGA.

a = 5.9977 Å, b = 5.9977 Å, c = 5.4275 Å
α = 83.11°, β = 83.11°, γ = 26.85°
Closest atoms and distances in Å follow each position.
Fractional positions:
Au 0.7500 0.7500 0.7500  2 Au 2.79, 4 Re 3.05
K 0.0060 0.0060 0.9967  6 K 2.79-3.07
K 0.4940 0.4940 0.5033  6 K 2.79-3.07
Re 0.2500 0.2500 0.2500  2 Re 2.79, 4 Au 3.05

Computed properties:
Fermi-level density of states ... 0.42 states/eV per atom
M_tot ... 0.74 μB per formula unit
E_form ... 1.05 eV per atom
Final energy ... -13.7 eV per cell
SG ... C2/m, No. 12
Calculated volume ... 87.5 Å³ per cell


(6)
An optimized crystal structure of K2ReAu, computed with PBE-GGA.

a = 4.4306 Å, b = 2.8183 Å, c = 10.1521 Å
α = 84.60°, β = 90.00°, γ = 90.00°
Closest atoms and distances in Å follow each position.
Fractional positions:
Au 0.5000 0.9671 0.6610  4 Re 2.71-2.72, 2 Au 2.82
K 0.0000 0.9335 0.9095  2 K 2.82
K 0.5000 0.1065 0.3351  2 K 2.82
Re 0.0000 0.4929 0.5944  4 Au 2.71-2.72, 2 Re 2.82

Computed properties:
Fermi-level density of states ... 0.89 states/eV per atom
M_tot ... 0.06 μB per formula unit
E_form ... 0.76 eV per atom
Final energy ... -14.9 eV per cell
SG ... Pm, No. 6
Calculated volume ... 126.2 Å³ per cell


(7)
An optimized crystal structure of KRe2Au, computed with PBE-GGA.

a = 4.6433 Å, b = 4.6433 Å, c = 4.6433 Å
α = 60.00°, β = 60.00°, γ = 60.00°
Closest atoms and distances in Å follow each position.
Fractional positions:
Re 0.2500 0.2500 0.2500  4 K 2.84, 4 Au 2.84
Re 0.7500 0.7500 0.7500  4 Au 2.84, 4 K 2.84
K 0.0000 0.0000 0.0000  8 Re 2.84
Au 0.5000 0.5000 0.5000  8 Re 2.84

Computed properties:
Fermi-level density of states ... 1.37 states/eV per atom
M_tot ... 0.00 μB per formula unit
E_form ... 2.10 eV per atom
Final energy ... -20.9 eV per cell
SG ... Fm-3m, No. 225
Calculated volume ... 70.8 Å³ per cell


(8)
An optimized crystal structure of KRe2Au, computed with PBE-GGA.

a = 5.9153 Å, b = 5.9153 Å, c = 5.9153 Å
α = 142.36°, β = 142.36°, γ = 54.29°
Closest atoms and distances in Å follow each position.
Fractional positions:
Au 0.2500 0.7500 0.5000  4 K 2.70
K 0.7500 0.2500 0.5000  4 Au 2.70
Re 0.0000 0.0000 0.0000  4 Re 2.70
Re 0.5000 0.5000 0.0000  4 Re 2.70

Computed properties:
Fermi-level density of states ... 0.91 states/eV per atom
M_tot ... 0.00 μB per formula unit
E_form ... 1.50 eV per atom
Final energy ... -23.3 eV per cell
SG ... I4/mmm, No. 139
Calculated volume ... 76.7 Å³ per cell


(9)
An optimized crystal structure of KRe2Au, computed with PBE-GGA.

a = 2.5995 Å, b = 5.4931 Å, c = 5.4861 Å
α = 90.00°, β = 90.00°, γ = 90.00°
Closest atoms and distances in Å follow each position.
Fractional positions:
Au 0.5000 0.5000 0.2500  2 Au 2.60, 2 K 2.74
K 0.5000 0.5000 0.7500  2 K 2.60, 2 Au 2.74
Re 0.0000 0.0000 0.9750  3 Re 2.47-2.60
Re 0.0000 0.0000 0.5250  3 Re 2.47-2.60

Computed properties:
Fermi-level density of states ... 0.82 states/eV per atom
M_tot ... 0.00 μB per formula unit
E_form ... 1.32 eV per atom
Final energy ... -24.0 eV per cell
SG ... Pmmm, No. 47
Calculated volume ... 78.3 Å³ per cell


(10)
An optimized crystal structure of KRe2Au, computed with PBE-GGA.

a = 5.5994 Å, b = 5.5994 Å, c = 6.5674 Å
α = 90.00°, β = 90.00°, γ = 120.00°
Closest atoms and distances in Å follow each position.
Fractional positions:
K 0.6667 0.3333 0.5316  5 Au 3.24-3.32, 3 K 3.28
K 0.0000 0.0000 0.6184  3 K 3.28, 3 Au 3.44, 6 Re 3.50-3.58
Re 0.1494 0.8506 0.1035  3 Re 2.43-2.51
Re 0.1494 0.2988 0.1035  3 Re 2.43-2.51
Re 0.7012 0.8506 0.1035  3 Re 2.43-2.51
Re 0.3333 0.6667 0.8519  3 Re 2.43, 1 Au 2.72
Au 0.6667 0.3333 0.0376  6 Re 2.84
Au 0.3333 0.6667 0.4378  4 Re 2.72-2.83

Computed properties:
Fermi-level density of states ... 0.68 states/eV per atom
M_tot ... 0.00 μB per formula unit
E_form ... 0.62 eV per atom
Final energy ... -53.6 eV per cell
SG ... P3m1, No. 156
Calculated volume ... 178.3 Å³ per cell


(11)
An optimized crystal structure of KRe2Au, computed with PBE-GGA.

a = 3.0483 Å, b = 3.0465 Å, c = 8.9841 Å
α = 90.00°, β = 90.00°, γ = 90.00°
Closest atoms and distances in Å follow each position.
Fractional positions:
K 0.0000 0.5000 0.4605  4 K 3.05, 4 Au 3.37
Re 0.5000 0.0000 0.1288  4 Re 2.54
Re 0.0000 0.5000 0.9800  4 Re 2.54
Au 0.5000 0.0000 0.7491  4 Re 2.99, 4 Au 3.05

Computed properties:
Fermi-level density of states ... 0.75 states/eV per atom
M_tot ... 0.00 μB per formula unit
E_form ... 0.54 eV per atom
Final energy ... -27.1 eV per cell
SG ... P4mm, No. 99
Calculated volume ... 83.4 Å³ per cell


(12)
An optimized crystal structure of KRe2Au, computed with PBE-GGA.

a = 2.8726 Å, b = 4.7613 Å, c = 14.4669 Å
α = 93.29°, β = 94.55°, γ = 89.98°
Closest atoms and distances in Å follow each position.
Fractional positions:
K 0.7719 0.3960 0.7342  2 K 2.87
K 0.5637 0.8461 0.4583  2 K 2.87
Re 0.8571 0.7632 0.9462  9 Re 2.61-2.87
Re 0.9146 0.1228 0.0897  9 Re 2.61-2.87, 1 Au 2.88
Re 0.4138 0.6186 0.0876  9 Re 2.59-2.87
Re 0.3573 0.2578 0.9466  9 Re 2.59-2.87
Au 0.4872 0.3123 0.2707  6 Au 2.79-2.87, 3 Re 3.07-3.09
Au 0.9809 0.8093 0.2546  6 Au 2.79-2.87, 3 Re 2.88-2.90

Computed properties:
Fermi-level density of states ... 0.54 states/eV per atom
M_tot ... 0.00 μB per formula unit
E_form ... 0.36 eV per atom
Final energy ... -55.7 eV per cell
SG ... P1, No. 1
Calculated volume ... 196.9 Å³ per cell


(13)
An optimized crystal structure of KRe2Au, computed with PBE-GGA.

a = 3.8842 Å, b = 3.8842 Å, c = 8.8986 Å
α = 86.65°, β = 86.65°, γ = 42.12°
Closest atoms and distances in Å follow each position.
Fractional positions:
Au 0.4779 0.4779 0.5454  2 Au 2.79, 3 Re 2.84-3.01
K 0.2400 0.2400 0.2531  2 K 2.79
Re 0.0155 0.0155 0.9268  1 Re 2.32
Re 0.7666 0.7666 0.7746  1 Re 2.32

Computed properties:
Fermi-level density of states ... 1.03 states/eV per atom
M_tot ... 0.00 μB per formula unit
E_form ... 0.74 eV per atom
Final energy ... -26.3 eV per cell
SG ... Cm, No. 8
Calculated volume ... 89.9 Å³ per cell


(14)
An optimized crystal structure of KRe2Au, computed with PBE-GGA.

a = 5.9506 Å, b = 5.9506 Å, c = 2.5944 Å
α = 90.00°, β = 90.00°, γ = 125.29°
Closest atoms and distances in Å follow each position.
Fractional positions:
Au 0.5000 0.0000 0.5000  2 Au 2.59, 2 K 2.73
K 0.0000 0.5000 0.5000  2 K 2.59, 2 Au 2.73
Re 0.0000 0.0000 0.0000  4 Re 2.59-2.73
Re 0.5000 0.5000 0.0000  4 Re 2.59-2.73

Computed properties:
Fermi-level density of states ... 0.95 states/eV per atom
M_tot ... 0.00 μB per formula unit
E_form ... 1.31 eV per atom
Final energy ... -24.0 eV per cell
SG ... Cmmm, No. 65
Calculated volume ... 75.0 Å³ per cell